Record 1
44
Lattice="8.121 0.000 0.000 0.000 10.017 0.000 -1.948 0.000 12.386" Properties=species:S:1:pos:R:3 comment="PBE AsSeBr3F6, relaxed" raw_formation_energy_kcal_per_mol_atoms=-32.63 e_tot_ev_per_cell=-159.77 magnetic_moment_mub_per_cell=0.000 vol_a3_per_atom=22.899 pbc="T T T"
As 1.421 2.284 0.890
As 0.447 2.724 7.082
As 5.727 7.293 5.303
As 4.753 7.732 11.496
Se 0.245 6.771 8.600
Se 1.218 8.254 2.407
Se 4.955 1.763 9.979
Se 5.929 3.246 3.786
Br 1.211 6.039 3.075
Br 0.237 8.986 9.268
Br 0.577 5.599 10.565
Br 1.551 9.426 4.372
Br 2.324 6.672 7.572
Br 3.298 8.353 1.380
Br 2.876 1.664 11.006
Br 3.849 3.345 4.813
Br 4.623 0.591 8.014
Br 5.597 4.418 1.821
Br 5.936 1.031 3.118
Br 4.962 3.977 9.310
F 0.062 7.297 0.003
F -0.912 7.728 6.196
F 0.685 0.704 1.289
F -0.289 4.304 7.482
F -0.255 2.031 8.561
F 0.718 2.977 2.369
F 0.137 1.580 11.780
F 1.111 3.428 5.588
F 1.166 1.155 6.675
F 2.140 3.853 0.482
F 2.882 1.828 1.767
F 1.908 3.180 7.960
F 4.266 6.836 4.425
F 3.292 8.189 10.618
F 4.034 6.163 11.904
F 5.007 8.862 5.711
F 5.062 6.588 6.798
F 6.036 8.437 0.605
F 5.455 7.039 10.017
F 6.429 7.986 3.824
F 6.463 5.712 4.904
F 5.489 9.312 11.097
F 7.085 2.289 6.190
F 6.111 2.719 12.383


Record 2
3
Lattice="-1.884 1.884 6.152 1.884 -1.884 6.152 1.884 1.884 -6.152" Properties=species:S:1:pos:R:3 comment="PBE BaInSi, relaxed" raw_formation_energy_kcal_per_mol_atoms=-2.42 e_tot_ev_per_cell=-10.40 magnetic_moment_mub_per_cell=0.000 vol_a3_per_atom=29.125 pbc="T T T"
Ba 0.000 0.000 0.000
In 0.000 0.000 3.591
Si 0.000 0.000 8.497


Record 3
6
Lattice="0.000 3.604 3.604 3.604 0.000 3.604 3.604 3.604 0.000" Properties=species:S:1:pos:R:3 comment="PBE PuCu4Ag, relaxed" formation_energy_mev_per_atom=-13 e_tot_ev_per_cell=-33.64 magnetic_moment_mub_per_cell=5.595 vol_a3_per_atom=15.606 pbc="T T T"
Pu 0.000 0.000 0.000
Cu 2.711 2.711 2.711
Cu 4.497 4.497 2.711
Cu 4.497 2.711 4.497
Cu 2.711 4.497 4.497
Ag 5.406 5.406 5.406


Record 4
6
Lattice="4.338 0.000 0.000 -2.169 3.757 0.000 0.000 0.000 7.128" Properties=species:S:1:pos:R:3 comment="PBE ThScAl2Cu2, relaxed" formation_energy_mev_per_atom=-378 e_tot_ev_per_cell=-31.70 magnetic_moment_mub_per_cell=0.000 vol_a3_per_atom=19.359 pbc="T T T"
Th 0.000 0.000 0.000
Sc 0.000 0.000 3.564
Al 0.000 2.504 5.058
Al 2.169 1.252 2.070
Cu 0.000 2.504 2.145
Cu 2.169 1.252 4.984


Record 5
16
Lattice="4.365 2.520 7.244 -4.365 2.520 7.244 0.000 -5.040 7.244" Properties=species:S:1:pos:R:3 comment="PBE Pr8Ga3HgBr4, relaxed" raw_formation_energy_kcal_per_mol_atoms=-20.17 e_tot_ev_per_cell=-68.30 magnetic_moment_mub_per_cell=0.000 vol_a3_per_atom=29.886 pbc="T T T"
Pr -2.242 -1.294 12.576
Pr 0.000 0.000 5.271
Pr 0.000 -2.589 9.157
Pr -2.242 1.294 9.157
Pr 2.242 -1.294 12.576
Pr 0.000 2.589 12.576
Pr 0.000 0.000 16.462
Pr 2.242 1.294 9.157
Ga -4.365 0.000 10.867
Ga -2.182 1.260 3.622
Ga 2.182 1.260 3.622
Hg 0.000 0.000 10.867
Br 0.000 0.000 0.000
Br -2.182 -1.260 7.244
Br -2.182 1.260 14.489
Br 0.000 2.520 7.244


Record 6
5
Lattice="5.142 0.000 0.000 0.000 5.142 0.000 0.000 0.000 4.890" Properties=species:S:1:pos:R:3 comment="PBE Mg2AlFeHg, relaxed" formation_energy_mev_per_atom=836 e_tot_ev_per_cell=-11.51 magnetic_moment_mub_per_cell=3.146 vol_a3_per_atom=25.855 pbc="T T T"
Mg 0.000 2.571 0.000
Mg 2.571 0.000 0.000
Al 0.000 0.000 2.445
Fe 2.571 2.571 2.445
Hg 0.000 0.000 0.000


Record 7
4
Lattice="-1.307 2.354 4.718 1.307 -2.354 4.718 1.307 2.354 -4.718" Properties=species:S:1:pos:R:3 comment="PBE Li2TaBe, relaxed" formation_energy_mev_per_atom=504 e_tot_ev_per_cell=-17.39 magnetic_moment_mub_per_cell=0.000 vol_a3_per_atom=14.510 pbc="T T T"
Li 0.000 0.000 0.000
Li 0.000 2.354 2.232
Ta 1.307 0.000 2.755
Be 0.000 0.000 4.971


Record 8
4
Lattice="3.194 0.000 0.000 0.000 3.225 0.000 -0.823 0.000 5.991" Properties=species:S:1:pos:R:3 comment="PBE Al2NiSe, relaxed" raw_formation_energy_kcal_per_mol_atoms=-3.58 e_tot_ev_per_cell=-17.37 magnetic_moment_mub_per_cell=0.000 vol_a3_per_atom=15.426 pbc="T T T"
Al -0.089 0.000 1.319
Al 2.460 0.000 4.671
Ni 1.597 1.612 0.000
Se 1.186 1.612 2.995


Record 9
18
Lattice="7.512 -6.307 0.000 7.512 6.307 0.000 -1.132 0.000 6.840" Properties=species:S:1:pos:R:3 comment="PBE LaCu2Br6, relaxed" raw_formation_energy_kcal_per_mol_atoms=-23.23 e_tot_ev_per_cell=-64.45 magnetic_moment_mub_per_cell=0.000 vol_a3_per_atom=36.011 pbc="T T T"
La 6.664 4.908 5.130
La 7.230 -4.908 1.710
Cu 4.793 0.858 5.117
Cu 5.358 -0.858 1.696
Cu 8.535 0.858 5.144
Cu 9.101 -0.858 1.724
Br 0.972 0.830 4.292
Br 4.567 3.012 6.030
Br 1.538 -0.830 0.872
Br 5.161 1.163 2.791
Br 8.761 3.012 4.231
Br 4.595 -1.163 6.211
Br 9.298 1.163 0.629
Br 5.133 -3.012 2.610
Br 8.732 -1.163 4.049
Br 12.356 0.830 5.968
Br 9.326 -3.012 0.811
Br 12.921 -0.830 2.548


Record 10
5
Lattice="4.737 0.000 0.000 0.000 4.737 0.000 0.000 0.000 4.939" Properties=species:S:1:pos:R:3 comment="PBE BaMgGa2Co, relaxed" formation_energy_mev_per_atom=-285 e_tot_ev_per_cell=-18.10 magnetic_moment_mub_per_cell=0.001 vol_a3_per_atom=22.168 pbc="T T T"
Ba 0.000 0.000 0.000
Mg 2.369 2.369 0.000
Ga 0.000 2.369 2.469
Ga 2.369 0.000 2.469
Co 2.369 2.369 2.469


Record 11
4
Lattice="3.691 0.000 0.000 0.000 4.502 0.000 0.000 0.000 8.011" Properties=species:S:1:pos:R:3 comment="PBE KYCl2, relaxed" raw_formation_energy_kcal_per_mol_atoms=-26.25 e_above_lowest_polymorph_mev_per_atom=337 e_tot_ev_per_cell=-15.81 magnetic_moment_mub_per_cell=1.154 vol_a3_per_atom=33.279 pbc="T T T"
K 0.000 0.000 0.000
Y 1.845 0.000 4.006
Cl 0.000 2.251 4.006
Cl 1.845 2.251 0.000


Record 12
4
Lattice="0.000 3.016 3.016 3.016 0.000 3.016 3.016 3.016 0.000" Properties=species:S:1:pos:R:3 comment="PBE NbVCr2, relaxed" formation_energy_mev_per_atom=6 e_above_lowest_polymorph_mev_per_atom=0 e_tot_ev_per_cell=-38.41 magnetic_moment_mub_per_cell=0.000 vol_a3_per_atom=13.719 pbc="T T T"
Nb 0.000 0.000 0.000
V 3.016 3.016 3.016
Cr 1.508 1.508 1.508
Cr 4.524 4.524 4.524


Please write out number 11 again, unchanged.
4
Lattice="3.691 0.000 0.000 0.000 4.502 0.000 0.000 0.000 8.011" Properties=species:S:1:pos:R:3 comment="PBE KYCl2, relaxed" raw_formation_energy_kcal_per_mol_atoms=-26.25 e_above_lowest_polymorph_mev_per_atom=337 e_tot_ev_per_cell=-15.81 magnetic_moment_mub_per_cell=1.154 vol_a3_per_atom=33.279 pbc="T T T"
K 0.000 0.000 0.000
Y 1.845 0.000 4.006
Cl 0.000 2.251 4.006
Cl 1.845 2.251 0.000